Entry from the Alexandria database: crystalline InCo3Br at its relaxed geometry (GGA-PBE).

Results
volume: 114.91 Å³/cell
energy relative to the elements, uncorrected: 1.5046 eV per atom
Fermi-level density of states: 2.5913 states/eV per atom
E above lowest polymorph: 531 meV per atom
final energy: -3.641 eV per atom

Cell: 4.8617 4.8617 4.8617 Å, 90.00 90.00 90.00°
Last column: magnetic moment on the atom in μB.
Fractional coordinates of all 5 atoms:
Co (0.0000, 0.5000, 0.0000)  1.70
Co (0.0000, 0.0000, 0.5000)  1.74
Co (0.5000, 0.0000, 0.0000)  1.70
Br (0.5000, 0.5000, 0.5000)  0.08
In (0.0000, 0.0000, 0.0000)  -0.14